V3Mo: relaxed, GGA-PBE.

The structure in POSCAR format:
```
V3Mo
1.0
-1.772 1.772 4.543
1.772 -1.772 4.543
1.772 1.772 -4.543
V Mo
3 1
Direct
0.000 0.000 0.000
0.250 0.750 0.500
0.750 0.250 0.500
0.500 0.500 0.000
```

Summary:
E above lowest polymorph: 0.1582 eV/atom
Energy of formation from the pure elements: 0.3 eV/f.u.
VASP energy: -9.467 eV/atom

=====

Ca5Zn2: relaxed, GGA-PBE.

The structure in POSCAR format:
```
Ca5Zn2
1.0
8.631 -3.466 0.000
8.631 3.466 0.000
-1.038 0.000 7.805
Ca Zn
10 4
Direct
0.085 0.915 0.750
0.133 0.306 0.310
0.296 0.521 0.076
0.306 0.133 0.810
0.479 0.704 0.424
0.521 0.296 0.576
0.694 0.867 0.190
0.704 0.479 0.924
0.867 0.694 0.690
0.915 0.085 0.250
0.091 0.689 0.421
0.311 0.909 0.079
0.689 0.091 0.921
0.909 0.311 0.579
```

Summary:
Energy of formation from the pure elements: -1.0 eV/f.u.
VASP energy: -1.930 eV/atom

=====

Q: VASP energy of number 2 (Ca5Zn2)?
A: -1.930 eV/atom

=====

Q: Among the records above, which one has the highest VASP energy?
A: Ca5Zn2